Material: CsCa2CdPd
Method: DFT, PBE-GGA
State: optimized geometry

```
CsCa2CdPd
1.0
5.702 0.000 0.000
0.000 5.702 0.000
0.000 0.000 5.592
Cs Ca Cd Pd
1 2 1 1
Direct
0.000 0.000 0.000
0.000 0.500 0.500
0.500 0.000 0.500
0.500 0.500 0.000
0.500 0.500 0.500
```

Calculated values
**Crystal system**: tetragonal
**Space-group type**: P4/mmm
**Energy relative to the elements**: -0.19 eV per atom
**DFT total energy**: -11.9 eV/cell

---

Material: CsCa2CdPt
Method: DFT, PBE-GGA
State: optimized geometry

```
CsCa2CdPt
1.0
5.683 0.000 0.000
0.000 5.683 0.000
0.000 0.000 5.558
Cs Ca Cd Pt
1 2 1 1
Direct
0.000 0.000 0.000
0.000 0.500 0.500
0.500 0.000 0.500
0.500 0.500 0.000
0.500 0.500 0.500
```

Calculated values
**Crystal system**: tetragonal
**Space-group type**: P4/mmm
**Energy relative to the elements**: -0.31 eV per atom
**DFT total energy**: -13.3 eV/cell

---

Material: CsRb2CaCd
Method: DFT, PBE-GGA
State: optimized geometry

```
CsRb2CaCd
1.0
8.630 0.000 0.000
0.000 8.630 0.000
0.000 0.000 8.452
Cs Rb Ca Cd
1 2 1 1
Direct
0.000 0.000 0.000
0.000 0.500 0.000
0.500 0.000 0.000
0.000 0.000 0.500
0.500 0.500 0.500
```

Calculated values
**Crystal system**: tetragonal
**Space-group type**: P4/mmm
**Energy relative to the elements**: 0.62 eV per atom
**DFT total energy**: -2.6 eV/cell

---

Material: CsCa2CdRh
Method: DFT, PBE-GGA
State: optimized geometry

```
CsCa2CdRh
1.0
5.580 0.000 0.000
0.000 5.580 0.000
0.000 0.000 5.607
Cs Ca Cd Rh
1 2 1 1
Direct
0.000 0.000 0.000
0.000 0.500 0.500
0.500 0.000 0.500
0.500 0.500 0.000
0.500 0.500 0.500
```

Calculated values
**Crystal system**: tetragonal
**Space-group type**: P4/mmm
**Energy relative to the elements**: -0.12 eV per atom
**DFT total energy**: -13.7 eV/cell

---

Material: CsCaCd2Rh
Method: DFT, PBE-GGA
State: optimized geometry

```
CsCaCd2Rh
1.0
5.517 0.000 0.000
0.000 5.517 0.000
0.000 0.000 5.280
Cs Ca Cd Rh
1 1 2 1
Direct
0.000 0.000 0.000
0.500 0.500 0.000
0.000 0.500 0.500
0.500 0.000 0.500
0.500 0.500 0.500
```

Calculated values
**Crystal system**: tetragonal
**Space-group type**: P4/mmm
**Energy relative to the elements**: -0.13 eV per atom
**DFT total energy**: -12.7 eV/cell

---

Material: Cs2CaCd2S4
Method: DFT, PBE-GGA
State: optimized geometry

```
Cs2CaCd2S4
1.0
8.111 -2.134 0.000
8.111 2.134 0.000
-2.496 0.000 7.778
Cs Ca Cd S
2 1 2 4
Direct
0.126 0.126 0.042
0.874 0.874 0.958
0.000 0.000 0.500
0.332 0.332 0.522
0.668 0.668 0.478
0.203 0.203 0.669
0.482 0.482 0.723
0.518 0.518 0.277
0.797 0.797 0.331
```

Calculated values
**Crystal system**: monoclinic
**Uncorrected formation energy**: -1.167 eV/atom
**Space-group type**: C2/m
**DFT total energy**: -32.5 eV/cell

---

Material: CsCaCdS2
Method: DFT, PBE-GGA
State: optimized geometry

```
CsCaCdS2
1.0
8.069 0.000 0.000
0.000 5.789 0.000
-1.547 0.000 7.610
Cs Ca Cd S
2 2 2 4
Direct
0.000 0.203 0.250
0.000 0.797 0.750
0.500 0.493 0.750
0.500 0.507 0.250
0.500 0.000 0.000
0.500 0.000 0.500
0.283 0.332 0.957
0.283 0.668 0.457
0.717 0.332 0.543
0.717 0.668 0.043
```

Calculated values
**Crystal system**: monoclinic
**Uncorrected formation energy**: -1.007 eV/atom
**Space-group type**: P2/c
**DFT total energy**: -34.1 eV/cell

---

Material: Cs2CaCdSb2
Method: DFT, PBE-GGA
State: optimized geometry

```
Cs2CaCdSb2
1.0
-3.670 8.934 3.747
3.670 -8.934 3.747
3.670 8.934 -3.747
Cs Ca Cd Sb
4 2 2 4
Direct
0.176 0.237 0.413
0.324 0.737 0.061
0.676 0.263 0.939
0.824 0.763 0.587
0.250 0.750 0.500
0.750 0.250 0.500
0.250 0.250 0.000
0.750 0.750 0.000
0.092 0.764 0.856
0.408 0.264 0.671
0.592 0.736 0.329
0.908 0.236 0.144
```

Calculated values
**Crystal system**: orthorhombic
**Uncorrected formation energy**: -0.627 eV/atom
**Space-group type**: Ibam
**DFT total energy**: -33.3 eV/cell

---

Material: Cs2CaCd2Se4
Method: DFT, PBE-GGA
State: optimized geometry

```
Cs2CaCd2Se4
1.0
8.366 -2.213 0.000
8.366 2.213 0.000
-2.610 0.000 8.083
Cs Ca Cd Se
2 1 2 4
Direct
0.126 0.126 0.048
0.874 0.874 0.952
0.000 0.000 0.500
0.331 0.331 0.523
0.669 0.669 0.477
0.203 0.203 0.674
0.484 0.484 0.728
0.516 0.516 0.272
0.797 0.797 0.326
```

Calculated values
**Crystal system**: monoclinic
**Uncorrected formation energy**: -1.164 eV/atom
**Space-group type**: C2/m
**DFT total energy**: -30.0 eV/cell

---

Material: CsSr2CaCd
Method: DFT, PBE-GGA
State: optimized geometry

```
CsSr2CaCd
1.0
6.580 0.000 0.000
0.000 6.580 0.000
0.000 0.000 6.335
Cs Sr Ca Cd
1 2 1 1
Direct
0.000 0.000 0.000
0.000 0.500 0.500
0.500 0.000 0.500
0.500 0.500 0.000
0.500 0.500 0.500
```

Calculated values
**Crystal system**: tetragonal
**Space-group type**: P4/mmm
**Energy relative to the elements**: 0.02 eV per atom
**DFT total energy**: -7.0 eV/cell

---

Material: CsSrCa2Cd
Method: DFT, PBE-GGA
State: optimized geometry

```
CsSrCa2Cd
1.0
6.293 0.000 0.000
0.000 6.293 0.000
0.000 0.000 6.514
Cs Sr Ca Cd
1 1 2 1
Direct
0.000 0.000 0.000
0.500 0.500 0.000
0.000 0.500 0.500
0.500 0.000 0.500
0.500 0.500 0.500
```

Calculated values
**Crystal system**: tetragonal
**Space-group type**: P4/mmm
**Energy relative to the elements**: 0.04 eV per atom
**DFT total energy**: -7.2 eV/cell

---

Material: Cs2CaTl12Cd3
Method: DFT, PBE-GGA
State: optimized geometry

```
Cs2CaTl12Cd3
1.0
4.140 2.390 11.233
-4.140 2.390 11.233
0.000 -4.780 11.233
Cs Ca Tl Cd
2 1 12 3
Direct
0.154 0.154 0.154
0.846 0.846 0.846
0.500 0.500 0.500
0.086 0.086 0.686
0.086 0.686 0.086
0.151 0.561 0.561
0.314 0.914 0.914
0.439 0.439 0.849
0.439 0.849 0.439
0.561 0.151 0.561
0.561 0.561 0.151
0.686 0.086 0.086
0.849 0.439 0.439
0.914 0.314 0.914
0.914 0.914 0.314
0.000 0.500 0.500
0.500 0.000 0.500
0.500 0.500 0.000
```

Calculated values
**Crystal system**: trigonal
**Space-group type**: R-3m
**Energy relative to the elements**: 0.02 eV per atom
**DFT total energy**: -34.4 eV/cell